Model A:
La2USe4: relaxed, PBE-GGA.

Summary:
- Magnetic moment: 3.27 μB/f.u.

Cell lengths 7.4335, 7.4335, 14.0415 Å; angles 90.00, 90.00, 147.84 degrees
Closest atoms and distances in Å follow each position.
Atoms (fractional coordinates):
La1 0.1328 0.8672 0.5714  6 Se 2.97-3.08
La2 0.1328 0.8672 0.9286  6 Se 2.97-3.08
La3 0.8672 0.1328 0.0714  6 Se 2.97-3.08
La4 0.8672 0.1328 0.4286  6 Se 2.97-3.08
U1 0.3752 0.6248 0.7500  6 Se 2.92-3.02
U2 0.6248 0.3752 0.2500  6 Se 2.92-3.02
Se1 0.0200 0.9800 0.7500  2 U 2.92, 2 La 2.98
Se2 0.2222 0.7778 0.1278  2 U 3.02, 3 La 3.03-3.08
Se3 0.2222 0.7778 0.3722  2 U 3.02, 3 La 3.03-3.08
Se4 0.5000 0.5000 0.0000  4 La 2.97
Se5 0.5000 0.5000 0.5000  4 La 2.97
Se6 0.7778 0.2222 0.6278  2 U 3.02, 3 La 3.03-3.08
Se7 0.7778 0.2222 0.8722  2 U 3.02, 3 La 3.03-3.08
Se8 0.9800 0.0200 0.2500  2 U 2.92, 2 La 2.98

Model B:
La2USe4: relaxed, PBE-GGA.

Summary:
- Magnetic moment: 3.96 μB/f.u.

Cell lengths 7.7626, 7.7626, 7.7626 Å; angles 109.30, 109.30, 109.82 degrees
Closest atoms and distances in Å follow each position.
Atoms (fractional coordinates):
La1 0.0013 0.1250 0.3763  8 Se 3.04-3.22
La2 0.3750 0.9987 0.1237  8 Se 3.04-3.22
La3 0.7487 0.6250 0.6237  8 Se 3.04-3.22
La4 0.8750 0.2513 0.8763  8 Se 3.04-3.22
U1 0.2500 0.7500 0.5000  8 Se 3.01-3.13
U2 0.5000 0.5000 0.0000  8 Se 3.01-3.13
Se1 0.1318 0.0303 0.7495  2 U 3.01-3.13, 4 La 3.04-3.22, 1 Se 3.29
Se2 0.1323 0.5308 0.7505  2 U 3.01-3.13, 4 La 3.04-3.22, 1 Se 3.29
Se3 0.2808 0.3823 0.2505  2 U 3.01-3.13, 4 La 3.04-3.22, 1 Se 3.29
Se4 0.4692 0.2197 0.6015  2 U 3.01-3.13, 4 La 3.04-3.22, 1 Se 3.29
Se5 0.6182 0.8677 0.3985  2 U 3.01-3.13, 4 La 3.04-3.22, 1 Se 3.29
Se6 0.6177 0.8682 0.8985  2 U 3.01-3.13, 4 La 3.04-3.22, 1 Se 3.29
Se7 0.7803 0.3818 0.2495  2 U 3.01-3.13, 4 La 3.04-3.22, 1 Se 3.29
Se8 0.9697 0.7192 0.1015  2 U 3.01-3.13, 4 La 3.04-3.22, 1 Se 3.29

It is model B that is the most stable of them.

Model A:
LaU2Se4: relaxed, PBE-GGA.

Summary:
- Magnetic moment: 6.34 μB/f.u.

Cell lengths 7.0489, 7.0489, 13.9801 Å; angles 90.00, 90.00, 146.66 degrees
Closest atoms and distances in Å follow each position.
Atoms (fractional coordinates):
La1 0.1118 0.8882 0.7500  6 Se 3.02-3.07
La2 0.8882 0.1118 0.2500  6 Se 3.02-3.07
U1 0.3635 0.6365 0.5614  6 Se 2.86-2.89
U2 0.3635 0.6365 0.9386  6 Se 2.86-2.89
U3 0.6365 0.3635 0.0614  6 Se 2.86-2.89
U4 0.6365 0.3635 0.4386  6 Se 2.86-2.89
Se1 0.0000 0.0000 0.0000  4 U 2.87
Se2 0.0000 0.0000 0.5000  4 U 2.87
Se3 0.2742 0.7258 0.1263  3 U 2.89, 2 La 3.07
Se4 0.2742 0.7258 0.3737  3 U 2.89, 2 La 3.07
Se5 0.4462 0.5538 0.7500  2 U 2.86, 2 La 3.02
Se6 0.5538 0.4462 0.2500  2 U 2.86, 2 La 3.02
Se7 0.7258 0.2742 0.6263  3 U 2.89, 2 La 3.07
Se8 0.7258 0.2742 0.8737  3 U 2.89, 2 La 3.07

Model B:
LaU2Se4: relaxed, PBE-GGA.

Summary:
- Magnetic moment: 6.95 μB/f.u.

Cell lengths 7.6310, 7.6310, 7.6310 Å; angles 109.51, 109.51, 109.39 degrees
Closest atoms and distances in Å follow each position.
Atoms (fractional coordinates):
La1 0.0000 0.0000 0.0000  8 Se 3.02-3.15
La2 0.7500 0.2500 0.5000  8 Se 3.02-3.15
U1 0.2498 0.1250 0.6248  8 Se 2.94-3.12
U2 0.3750 0.7502 0.8752  8 Se 2.94-3.12
U3 0.5002 0.6250 0.3752  8 Se 2.94-3.12
U4 0.8750 0.4998 0.1248  8 Se 2.94-3.12
Se1 0.1334 0.3837 0.4088  4 U 2.94-3.12, 2 La 3.02-3.15, 1 Se 3.26
Se2 0.1337 0.3834 0.9088  4 U 2.94-3.12, 2 La 3.02-3.15, 1 Se 3.26
Se3 0.2755 0.8666 0.2503  4 U 2.94-3.12, 2 La 3.02-3.15, 1 Se 3.26
Se4 0.4745 0.2249 0.0912  4 U 2.94-3.12, 2 La 3.02-3.15, 1 Se 3.26
Se5 0.6163 0.0251 0.7497  4 U 2.94-3.12, 2 La 3.02-3.15, 1 Se 3.26
Se6 0.6166 0.5255 0.7503  4 U 2.94-3.12, 2 La 3.02-3.15, 1 Se 3.26
Se7 0.7751 0.8663 0.2497  4 U 2.94-3.12, 2 La 3.02-3.15, 1 Se 3.26
Se8 0.9749 0.7245 0.5912  4 U 2.94-3.12, 2 La 3.02-3.15, 1 Se 3.26

It is model B that is the most stable of them.

Model A:
La2USe6: relaxed, PBE-GGA.

Summary:
- Magnetic moment: 0.00 μB/f.u.

Cell lengths 6.8320, 7.9357, 11.5474 Å; angles 90.00, 123.81, 90.00 degrees
Closest atoms and distances in Å follow each position.
Atoms (fractional coordinates):
La1 0.2168 0.1096 0.2501  8 Se 3.03-3.35
La2 0.2168 0.3904 0.7501  8 Se 3.03-3.35
La3 0.7832 0.6096 0.2499  8 Se 3.03-3.35
La4 0.7832 0.8904 0.7499  8 Se 3.03-3.35
U1 0.5000 0.0000 0.0000  6 Se 2.66-2.71
U2 0.5000 0.5000 0.5000  6 Se 2.66-2.71
Se1 0.1133 0.1686 0.9422  1 U 2.69
Se2 0.1133 0.3314 0.4422  1 U 2.69
Se3 0.2865 0.6954 0.9413  1 U 2.71
Se4 0.2865 0.8046 0.4413  1 U 2.71
Se5 0.3548 0.0324 0.7339  1 U 2.66
Se6 0.3548 0.4676 0.2339  1 U 2.66
Se7 0.6452 0.5324 0.7661  1 U 2.66
Se8 0.6452 0.9676 0.2661  1 U 2.66
Se9 0.7135 0.1954 0.5587  1 U 2.71
Se10 0.7135 0.3046 0.0587  1 U 2.71
Se11 0.8867 0.6686 0.5578  1 U 2.69
Se12 0.8867 0.8314 0.0578  1 U 2.69

Model B:
La2USe6: relaxed, PBE-GGA.

Summary:
- Magnetic moment: 0.64 μB/f.u.

Cell lengths 7.9224, 7.9224, 4.1432 Å; angles 90.00, 90.00, 120.00 degrees
Closest atoms and distances in Å follow each position.
Atoms (fractional coordinates):
La1 0.3333 0.6667 0.0000  9 Se 3.05-3.18
La2 0.6667 0.3333 0.0000  9 Se 3.05-3.18
U1 0.0000 0.0000 0.5000  9 Se 2.84-3.17
Se1 0.0000 0.4006 0.5000  1 U 3.17, 4 La 3.18, 6 Se 3.46-3.49
Se2 0.0000 0.7554 0.0000  2 U 2.84, 2 La 3.05
Se3 0.2446 0.2446 0.0000  2 U 2.84, 2 La 3.05
Se4 0.4006 0.0000 0.5000  1 U 3.17, 4 La 3.18, 6 Se 3.46-3.49
Se5 0.5994 0.5994 0.5000  1 U 3.17, 4 La 3.18, 6 Se 3.46-3.49
Se6 0.7554 0.0000 0.0000  2 U 2.84, 2 La 3.05

It is model A that is the most stable of them.